No. 1
Tb3Dy2Cd3 after structural relaxation, computed with GGA-PBE.

Calculated values
The value obtained for the calculated volume is 222.6 Å³/f.u. For the density of states at the Fermi level, the calculation gives 9.97 states/eV per cell. The calculation puts the energy of formation at -23 kJ/mol of atoms.

a = 11.5787 Å, b = 11.5787 Å, c = 11.5787 Å
α = 161.44°, β = 153.20°, γ = 32.80°
Element x y z (fractional)
Tb: 0.0000 0.0000 0.0000
Tb: 0.3769 0.8769 0.5000
Tb: 0.6231 0.1231 0.5000
Dy: 0.2337 0.2337 0.0000
Dy: 0.7663 0.7663 0.0000
Cd: 0.1173 0.6173 0.5000
Cd: 0.5000 0.5000 0.0000
Cd: 0.8827 0.3827 0.5000



No. 2
DyEr4In2 after structural relaxation, computed with GGA-PBE.

Calculated values
The value obtained for the calculated volume is 228.6 Å³/f.u. Its energy above the most stable polymorph in this dataset is 0.1843 eV per atom. For the density of states at the Fermi level, the calculation gives 8.88 states/eV per cell. The calculation puts the energy of formation at 7 kJ/mol of atoms.

a = 10.6230 Å, b = 10.6230 Å, c = 10.6230 Å
α = 27.70°, β = 27.70°, γ = 27.70°
Element x y z (fractional)
Dy: 0.0000 0.0000 0.0000
Er: 0.2041 0.2041 0.2041
Er: 0.3900 0.3900 0.3900
Er: 0.6100 0.6100 0.6100
Er: 0.7959 0.7959 0.7959
In: 0.1004 0.1004 0.1004
In: 0.8996 0.8996 0.8996



No. 3
TiAl3As after structural relaxation, computed with GGA-PBE.

Calculated values
The value obtained for the calculated volume is 123.5 Å³/f.u. Its energy above the most stable polymorph in this dataset is 0.1551 eV per atom. For the density of states at the Fermi level, the calculation gives 7.81 states/eV per cell. The calculation puts the energy of formation at 93 kJ/mol of atoms.

a = 4.9803 Å, b = 4.9803 Å, c = 4.9803 Å
α = 90.00°, β = 90.00°, γ = 90.00°
Element x y z (fractional)
Ti: 0.0000 0.0000 0.0000
Al: 0.0000 0.0000 0.5000
Al: 0.0000 0.5000 0.0000
Al: 0.5000 0.0000 0.0000
As: 0.5000 0.5000 0.5000



No. 4
Al2CrCl8 after structural relaxation, computed with GGA-PBE.

Calculated values
The value obtained for the energy relative to the elements, uncorrected is -1.37 eV/atom. The value obtained for the calculated volume is 360.2 Å³/f.u. Its energy above the most stable polymorph in this dataset is 0.0000 eV per atom.

a = 16.1082 Å, b = 6.2414 Å, c = 14.3313 Å
α = 90.00°, β = 90.00°, γ = 90.00°
Element x y z (fractional)
Al: 0.0009 0.0932 0.0000
Al: 0.2478 0.5989 0.1808
Al: 0.2522 0.5989 0.6808
Al: 0.4991 0.0932 0.5000
Al: 0.5009 0.9068 0.0000
Al: 0.7478 0.4011 0.1808
Al: 0.7522 0.4011 0.6808
Al: 0.9991 0.9068 0.5000
Cr: 0.1259 0.2514 0.5907
Cr: 0.3741 0.2514 0.0907
Cr: 0.6259 0.7486 0.5907
Cr: 0.8741 0.7486 0.0907
Cl: 0.0074 0.5663 0.5055
Cl: 0.0079 0.0490 0.6420
Cl: 0.1040 0.9776 0.9257
Cl: 0.1174 0.0486 0.4491
Cl: 0.1343 0.4554 0.7322
Cl: 0.1441 0.4870 0.2553
Cl: 0.2435 0.4551 0.5391
Cl: 0.2433 0.9395 0.6749
Cl: 0.2565 0.4551 0.0391
Cl: 0.2567 0.9395 0.1749
Cl: 0.3559 0.4870 0.7553
Cl: 0.3657 0.4554 0.2322
Cl: 0.3826 0.0486 0.9491
Cl: 0.3960 0.9776 0.4257
Cl: 0.4921 0.0490 0.1420
Cl: 0.4926 0.5663 0.0055
Cl: 0.5074 0.4337 0.5055
Cl: 0.5079 0.9510 0.6420
Cl: 0.6040 0.0224 0.9257
Cl: 0.6174 0.9514 0.4491
Cl: 0.6343 0.5446 0.7322
Cl: 0.6441 0.5130 0.2553
Cl: 0.7433 0.0605 0.6749
Cl: 0.7435 0.5449 0.5391
Cl: 0.7567 0.0605 0.1749
Cl: 0.7565 0.5449 0.0391
Cl: 0.8559 0.5130 0.7553
Cl: 0.8657 0.5446 0.2322
Cl: 0.8826 0.9514 0.9491
Cl: 0.8960 0.0224 0.4257
Cl: 0.9921 0.9510 0.1420
Cl: 0.9926 0.4337 0.0055



No. 5
AcGe4Pd2 after structural relaxation, computed with GGA-PBE.

Calculated values
The value obtained for the calculated volume is 140.2 Å³/f.u. For the density of states at the Fermi level, the calculation gives 11.59 states/eV per cell. The calculation puts the energy of formation at -50 kJ/mol of atoms.

a = 17.7548 Å, b = 4.5729 Å, c = 6.9082 Å
α = 90.00°, β = 90.00°, γ = 90.00°
Element x y z (fractional)
Ac: 0.1436 0.2500 0.0151
Ac: 0.3564 0.7500 0.5151
Ac: 0.6436 0.2500 0.4849
Ac: 0.8564 0.7500 0.9849
Ge: 0.0352 0.7500 0.8462
Ge: 0.0624 0.2500 0.4706
Ge: 0.1758 0.7500 0.3344
Ge: 0.1893 0.7500 0.7213
Ge: 0.3107 0.2500 0.2213
Ge: 0.3242 0.2500 0.8344
Ge: 0.4376 0.7500 0.9706
Ge: 0.4648 0.2500 0.3462
Ge: 0.5352 0.7500 0.6538
Ge: 0.5624 0.2500 0.0294
Ge: 0.6758 0.7500 0.1656
Ge: 0.6893 0.7500 0.7787
Ge: 0.8107 0.2500 0.2787
Ge: 0.8242 0.2500 0.6656
Ge: 0.9376 0.7500 0.5294
Ge: 0.9648 0.2500 0.1538
Pd: 0.0275 0.7500 0.2400
Pd: 0.2084 0.2500 0.5322
Pd: 0.2916 0.7500 0.0322
Pd: 0.4725 0.2500 0.7400
Pd: 0.5275 0.7500 0.2600
Pd: 0.7084 0.2500 0.9678
Pd: 0.7916 0.7500 0.4678
Pd: 0.9725 0.2500 0.7600



No. 6
Pm2DyPuSe4 after structural relaxation, computed with GGA-PBE.

Calculated values
The value obtained for the energy relative to the elements, uncorrected is -1.76 eV/atom. The value obtained for the calculated volume is 202.4 Å³/f.u. For the density of states at the Fermi level, the calculation gives 9.48 states/eV per cell.

a = 7.1915 Å, b = 4.1295 Å, c = 7.2136 Å
α = 90.00°, β = 109.14°, γ = 90.00°
Element x y z (fractional)
Pm: 0.0000 0.0000 0.0000
Pm: 0.5000 0.5000 0.0000
Dy: 0.0000 0.5000 0.5000
Pu: 0.5000 0.0000 0.5000
Se: 0.2446 0.0000 0.7411
Se: 0.2500 0.5000 0.2570
Se: 0.7500 0.5000 0.7430
Se: 0.7554 0.0000 0.2589



No. 7
Au2BrCl after structural relaxation, computed with GGA-PBE.

Calculated values
The value obtained for the energy relative to the elements, uncorrected is -0.10 eV/atom. The value obtained for the calculated volume is 122.9 Å³/f.u. Its energy above the most stable polymorph in this dataset is 0.0000 eV per atom.

a = 4.3510 Å, b = 3.6147 Å, c = 7.8255 Å
α = 90.00°, β = 92.71°, γ = 90.00°
Element x y z (fractional)
Au: 0.0000 0.0000 0.0000
Au: 0.1977 0.5000 0.2185
Br: 0.3829 0.0000 0.4271
Cl: 0.8271 0.5000 0.8092



No. 8
Ce4PmMg after structural relaxation, computed with GGA-PBE.

Calculated values
The value obtained for the calculated volume is 176.0 Å³/f.u. For the density of states at the Fermi level, the calculation gives 14.81 states/eV per cell. The calculation puts the energy of formation at 22 kJ/mol of atoms.

a = 6.2901 Å, b = 6.2901 Å, c = 6.2901 Å
α = 60.00°, β = 60.00°, γ = 60.00°
Element x y z (fractional)
Ce: 0.1133 0.1133 0.1133
Ce: 0.1133 0.1133 0.6600
Ce: 0.1133 0.6600 0.1133
Ce: 0.6600 0.1133 0.1133
Pm: 0.5000 0.5000 0.5000
Mg: 0.7500 0.7500 0.7500



No. 9
CsBiI2N after structural relaxation, computed with GGA-PBE.

Calculated values
The value obtained for the energy relative to the elements, uncorrected is -0.07 eV/atom. The value obtained for the calculated volume is 190.9 Å³/f.u. Its energy above the most stable polymorph in this dataset is 0.0000 eV per atom. For the density of states at the Fermi level, the calculation gives 3.76 states/eV per cell.

a = 6.6329 Å, b = 6.6329 Å, c = 4.3387 Å
α = 90.00°, β = 90.00°, γ = 90.00°
Element x y z (fractional)
Cs: 0.0000 0.0000 0.0000
Bi: 0.5000 0.5000 0.5000
I: 0.0000 0.5000 0.5000
I: 0.5000 0.0000 0.5000
N: 0.5000 0.5000 0.0000



No. 10
Mn2MoAs2 after structural relaxation, computed with GGA-PBE.

Calculated values
The value obtained for the calculated volume is 67.1 Å³/f.u. For the density of states at the Fermi level, the calculation gives 16.43 states/eV per cell. The calculation puts the energy of formation at 11 kJ/mol of atoms.

a = 6.8860 Å, b = 6.8860 Å, c = 2.8313 Å
α = 90.00°, β = 90.00°, γ = 90.00°
Element x y z (fractional)
Mn: 0.1414 0.3586 0.0000
Mn: 0.3586 0.8586 0.0000
Mn: 0.6414 0.1414 0.0000
Mn: 0.8586 0.6414 0.0000
Mo: 0.0000 0.0000 0.5000
Mo: 0.5000 0.5000 0.5000
As: 0.1557 0.6557 0.5000
As: 0.3443 0.1557 0.5000
As: 0.6557 0.8443 0.5000
As: 0.8443 0.3443 0.5000



No. 11
LiCu3Pt4 after structural relaxation, computed with GGA-PBE.

Calculated values
The value obtained for the calculated volume is 111.0 Å³/f.u. For the density of states at the Fermi level, the calculation gives 7.86 states/eV per cell. The calculation puts the energy of formation at -23 kJ/mol of atoms.

a = 7.8593 Å, b = 7.8593 Å, c = 7.8593 Å
α = 151.40°, β = 151.40°, γ = 40.88°
Element x y z (fractional)
Li: 0.0000 0.0000 0.0000
Cu: 0.2506 0.2506 0.0000
Cu: 0.5000 0.5000 0.0000
Cu: 0.7494 0.7494 0.0000
Pt: 0.1243 0.6243 0.5000
Pt: 0.3757 0.8757 0.5000
Pt: 0.6243 0.1243 0.5000
Pt: 0.8757 0.3757 0.5000